A plane-wave DFT calculation with GGA-PBE was carried out for a relaxed structure of Pr2Ag2O5.

POSCAR file:
```
Pr2Ag2O5
1.0
6.563 -2.126 0.000
6.563 2.126 0.000
-1.730 0.000 4.924
Pr Ag O
2 2 5
Direct
0.119 0.119 0.400
0.881 0.881 0.600
0.391 0.391 0.098
0.609 0.609 0.902
0.087 0.087 0.861
0.306 0.306 0.673
0.500 0.500 0.500
0.694 0.694 0.327
0.913 0.913 0.139
```

Calculated values
Volume in Å³/cell: 137
Space-group type: C2/m, No. 12

=====

A plane-wave DFT calculation with GGA-PBE was carried out for a relaxed structure of PrAgO2.

POSCAR file:
```
PrAgO2
1.0
1.824 1.053 5.853
-1.824 1.053 5.853
0.000 -2.106 5.853
Pr Ag O
1 1 2
Direct
0.000 0.000 0.000
0.820 0.820 0.820
0.405 0.405 0.405
0.602 0.602 0.602
```

Calculated values
Volume in Å³/cell: 67
Space-group type: R3m, No. 160

=====

A plane-wave DFT calculation with GGA-PBE was carried out for a relaxed structure of Pr3AgO.

POSCAR file:
```
Pr3AgO
1.0
4.995 0.000 0.000
0.000 4.995 0.000
0.000 0.000 4.995
Pr Ag O
3 1 1
Direct
0.000 0.000 0.500
0.000 0.500 0.000
0.500 0.000 0.000
0.500 0.500 0.500
0.000 0.000 0.000
```

Calculated values
Energy above the lowest structure with this stoichiometry in meV per atom: 0
Volume in Å³/cell: 125
Space-group type: Pm-3m, No. 221

=====

A plane-wave DFT calculation with GGA-PBE was carried out for a relaxed structure of Pr4Ag2O.

POSCAR file:
```
Pr4Ag2O
1.0
-2.478 2.478 7.664
2.478 -2.478 7.664
2.478 2.478 -7.664
Pr Ag O
4 2 1
Direct
0.000 0.500 0.500
0.179 0.179 0.000
0.500 0.000 0.500
0.821 0.821 0.000
0.371 0.371 0.000
0.629 0.629 0.000
0.000 0.000 0.000
```

Calculated values
Volume in Å³/cell: 188
Space-group type: I4/mmm, No. 139

=====

| no. | uncorrected formation energy (eV/atom) |
| --- | --- |
| 1 | -1.820 |
| 2 | -1.863 |
| 3 | -1.147 |
| 4 | -0.860 |